Ce2Nd2O7 | PBE | relaxed

The value obtained for the uncorrected formation energy is -3.37 eV/atom. The total energy comes out at -745.3 eV per cell. As for the calculated volume: 15.64 Å³/atom.

Lattice parameters (Å, degrees): 11.1228 11.1228 11.1228 90.00 90.00 90.00
Space group Fd-3m (No. 227, origin choice 2)
Symmetry-distinct sites (fractional):
Ce (0.0000, 0.0000, 0.0000) x16
Nd (0.0000, 0.0000, 0.5000) x16
O (0.0973, 0.3750, 0.3750) x48
O (0.1250, 0.1250, 0.6250) x8